A plane-wave DFT calculation with PBE was carried out for an optimized crystal structure of ZrBeN2.

As for the energy: -33.071 eV/f.u. As for the uncorrected formation energy: -1.04 eV/atom. The theoretical density comes out at 4.59 Mg/m³.

The structure belongs to space group I-42d (No. 122); the cell edges are 4.468, 4.468 and 9.290 Å and the angles 90.00°, 90.00° and 90.00°. The asymmetric unit holds Zr at (0.000, 0.000, 0.000), Be at (0.000, 0.000, 0.500) and N at (0.203, 0.250, 0.625).